No. 1
Li5Zn3Cl12 | GGA-PBE | relaxed

Output
Space-group type: No. 230
Uncorrected formation energy (meV per atom): -1253
Calculated total energy (eV for the cell shown): -242.4

CIF file:
```
data_Li5Zn3Cl12
_cell_length_a 13.5971
_cell_length_b 13.5971
_cell_length_c 13.5971
_cell_angle_alpha 109.47
_cell_angle_beta 109.47
_cell_angle_gamma 109.47
_symmetry_space_group_name_H-M 'P 1'
_symmetry_Int_Tables_number 1
loop_
_symmetry_equiv_pos_as_xyz
'x,y,z'
loop_
_atom_site_label
_atom_site_type_symbol
_atom_site_fract_x
_atom_site_fract_y
_atom_site_fract_z
Li1 Li 0.0000 0.0000 0.0000
Li2 Li 0.0000 0.0000 0.5000
Li3 Li 0.0000 0.5000 0.0000
Li4 Li 0.0000 0.5000 0.5000
Li5 Li 0.1250 0.7500 0.8750
Li6 Li 0.1250 0.8750 0.2500
Li7 Li 0.2500 0.1250 0.8750
Li8 Li 0.2500 0.6250 0.3750
Li9 Li 0.3750 0.2500 0.6250
Li10 Li 0.3750 0.6250 0.7500
Li11 Li 0.5000 0.0000 0.0000
Li12 Li 0.5000 0.0000 0.5000
Li13 Li 0.5000 0.5000 0.0000
Li14 Li 0.5000 0.5000 0.5000
Li15 Li 0.6250 0.3750 0.2500
Li16 Li 0.6250 0.7500 0.3750
Li17 Li 0.7500 0.3750 0.6250
Li18 Li 0.7500 0.8750 0.1250
Li19 Li 0.8750 0.1250 0.7500
Li20 Li 0.8750 0.2500 0.1250
Zn1 Zn 0.1250 0.2500 0.3750
Zn2 Zn 0.1250 0.3750 0.7500
Zn3 Zn 0.2500 0.3750 0.1250
Zn4 Zn 0.2500 0.8750 0.6250
Zn5 Zn 0.3750 0.1250 0.2500
Zn6 Zn 0.3750 0.7500 0.1250
Zn7 Zn 0.6250 0.2500 0.8750
Zn8 Zn 0.6250 0.8750 0.7500
Zn9 Zn 0.7500 0.1250 0.3750
Zn10 Zn 0.7500 0.6250 0.8750
Zn11 Zn 0.8750 0.6250 0.2500
Zn12 Zn 0.8750 0.7500 0.6250
Cl1 Cl 0.0144 0.6382 0.1869
Cl2 Cl 0.0144 0.8762 0.8275
Cl3 Cl 0.0487 0.1725 0.6869
Cl4 Cl 0.0487 0.3762 0.3618
Cl5 Cl 0.1238 0.1725 0.9856
Cl6 Cl 0.1238 0.4513 0.1382
Cl7 Cl 0.1382 0.1238 0.4513
Cl8 Cl 0.1382 0.5144 0.6869
Cl9 Cl 0.1725 0.6869 0.0487
Cl10 Cl 0.1725 0.9856 0.1238
Cl11 Cl 0.1869 0.0144 0.6382
Cl12 Cl 0.1869 0.6725 0.5487
Cl13 Cl 0.3131 0.8618 0.4856
Cl14 Cl 0.3131 0.9513 0.8275
Cl15 Cl 0.3275 0.3762 0.5144
Cl16 Cl 0.3275 0.4513 0.8131
Cl17 Cl 0.3618 0.0487 0.3762
Cl18 Cl 0.3618 0.8131 0.9856
Cl19 Cl 0.3762 0.3618 0.0487
Cl20 Cl 0.3762 0.5144 0.3275
Cl21 Cl 0.4513 0.1382 0.1238
Cl22 Cl 0.4513 0.8131 0.3275
Cl23 Cl 0.4856 0.3131 0.8618
Cl24 Cl 0.4856 0.6725 0.6238
Cl25 Cl 0.5144 0.3275 0.3762
Cl26 Cl 0.5144 0.6869 0.1382
Cl27 Cl 0.5487 0.1869 0.6725
Cl28 Cl 0.5487 0.8618 0.8762
Cl29 Cl 0.6238 0.4856 0.6725
Cl30 Cl 0.6238 0.6382 0.9513
Cl31 Cl 0.6382 0.1869 0.0144
Cl32 Cl 0.6382 0.9513 0.6238
Cl33 Cl 0.6725 0.5487 0.1869
Cl34 Cl 0.6725 0.6238 0.4856
Cl35 Cl 0.6869 0.0487 0.1725
Cl36 Cl 0.6869 0.1382 0.5144
Cl37 Cl 0.8131 0.3275 0.4513
Cl38 Cl 0.8131 0.9856 0.3618
Cl39 Cl 0.8275 0.0144 0.8762
Cl40 Cl 0.8275 0.3131 0.9513
Cl41 Cl 0.8618 0.4856 0.3131
Cl42 Cl 0.8618 0.8762 0.5487
Cl43 Cl 0.8762 0.5487 0.8618
Cl44 Cl 0.8762 0.8275 0.0144
Cl45 Cl 0.9513 0.6238 0.6382
Cl46 Cl 0.9513 0.8275 0.3131
Cl47 Cl 0.9856 0.1238 0.1725
Cl48 Cl 0.9856 0.3618 0.8131
```



No. 2
InP2Au | GGA-PBE | relaxed

Output
Space-group type: No. 122
Calculated total energy (eV for the cell shown): -65.8

CIF file:
```
data_InP2Au
_cell_length_a 5.7503
_cell_length_b 5.7503
_cell_length_c 11.6506
_cell_angle_alpha 90.00
_cell_angle_beta 90.00
_cell_angle_gamma 90.00
_symmetry_space_group_name_H-M 'P 1'
_symmetry_Int_Tables_number 1
loop_
_symmetry_equiv_pos_as_xyz
'x,y,z'
loop_
_atom_site_label
_atom_site_type_symbol
_atom_site_fract_x
_atom_site_fract_y
_atom_site_fract_z
In1 In 0.0000 0.0000 0.0000
In2 In 0.0000 0.5000 0.2500
In3 In 0.5000 0.0000 0.7500
In4 In 0.5000 0.5000 0.5000
P1 P 0.2235 0.2500 0.6250
P2 P 0.2500 0.7235 0.8750
P3 P 0.2500 0.7765 0.3750
P4 P 0.2765 0.2500 0.1250
P5 P 0.7235 0.7500 0.1250
P6 P 0.7500 0.2235 0.3750
P7 P 0.7500 0.2765 0.8750
P8 P 0.7765 0.7500 0.6250
Au1 Au 0.0000 0.0000 0.5000
Au2 Au 0.0000 0.5000 0.7500
Au3 Au 0.5000 0.0000 0.2500
Au4 Au 0.5000 0.5000 0.0000
```